No. 1
Computed, not measured: a relaxed structure of Sc2MnCo2 at the PBE level of DFT.

a b c (Å): 6.0081 6.0081 4.1445
angles (deg): 90.00 90.00 90.00
Closest atoms and distances in Å follow each position.
Fractional positions:
Sc (0.1792, 0.6792, 0.5000)  6 Co 2.59-2.82
Sc (0.6792, 0.8208, 0.5000)  6 Co 2.59-2.82
Sc (0.8208, 0.3208, 0.5000)  6 Co 2.59-2.82
Sc (0.3208, 0.1792, 0.5000)  6 Co 2.59-2.82
Mn (0.0000, 0.0000, 0.0000)  4 Co 2.33
Mn (0.5000, 0.5000, 0.0000)  4 Co 2.33
Co (0.3626, 0.8626, 0.0000)  2 Mn 2.33, 1 Co 2.33, 2 Sc 2.59
Co (0.8626, 0.6374, 0.0000)  2 Mn 2.33, 1 Co 2.33, 2 Sc 2.59
Co (0.6374, 0.1374, 0.0000)  2 Mn 2.33, 1 Co 2.33, 2 Sc 2.59
Co (0.1374, 0.3626, 0.0000)  2 Mn 2.33, 1 Co 2.33, 2 Sc 2.59

Output
As for the space group: No. 127. The magnetization comes out at 0.00 μB/f.u. The calculation puts the energy of formation from the pure elements at -0.107 eV per atom.



No. 2
Computed, not measured: a relaxed structure of ScMnCo at the PBE level of DFT.

a b c (Å): 4.1671 4.1671 4.1671
angles (deg): 60.00 60.00 60.00
Closest atoms and distances in Å follow each position.
Fractional positions:
Co (0.7500, 0.7500, 0.7500)  4 Sc 2.55, 4 Mn 2.55
Mn (0.0000, 0.0000, 0.0000)  4 Co 2.55
Sc (0.5000, 0.5000, 0.5000)  4 Co 2.55

Output
As for the space group: No. 216. The magnetization comes out at 4.04 μB/f.u. For the energy above the lowest structure with this stoichiometry, the calculation gives 1.25 eV/f.u. The calculation puts the energy of formation from the pure elements at 0.166 eV per atom.



No. 3
Computed, not measured: a relaxed structure of ScMn3Co at the PBE level of DFT.

a b c (Å): 4.2352 4.2352 4.2352
angles (deg): 90.00 90.00 90.00
Closest atoms and distances in Å follow each position.
Fractional positions:
Sc (0.0000, 0.0000, 0.0000)  6 Mn 2.12
Mn (0.0000, 0.5000, 0.0000)  2 Sc 2.12
Mn (0.0000, 0.0000, 0.5000)  2 Sc 2.12
Mn (0.5000, 0.0000, 0.0000)  2 Sc 2.12
Co (0.5000, 0.5000, 0.5000)  12 Mn 2.99

Output
As for the space group: No. 221. The magnetization comes out at 2.28 μB/f.u. For the energy above the lowest structure with this stoichiometry, the calculation gives 5.66 eV/f.u. The calculation puts the energy of formation from the pure elements at 2.048 eV per atom.



No. 4
Computed, not measured: a relaxed structure of ScMn2Co at the PBE level of DFT.

a b c (Å): 5.1486 5.1486 4.2771
angles (deg): 65.43 65.43 35.16
Closest atoms and distances in Å follow each position.
Fractional positions:
Co (0.2622, 0.2622, 0.2377)  6 Mn 2.40-2.65, 2 Sc 2.62
Mn (0.9693, 0.9693, 0.0308)  2 Co 2.40, 4 Sc 2.69
Mn (0.7457, 0.7457, 0.7544)  4 Co 2.65, 4 Mn 2.89-2.91, 4 Sc 2.90-2.91
Sc (0.5228, 0.5228, 0.4772)  2 Co 2.62, 8 Mn 2.69-2.91

Output
As for the space group: No. 44. The magnetization comes out at 7.23 μB/f.u. For the energy above the lowest structure with this stoichiometry, the calculation gives 0.53 eV/f.u. The calculation puts the energy of formation from the pure elements at 0.085 eV per atom.